# CePuTe3 GGA-PBE relaxed
# **DOS at the Fermi energy**: 17.61 states/eV/f.u.
# **Density**: 8.048 Mg/m³
# **Electronic total energy**: -7.147 eV/atom
# **Energy relative to the elements, uncorrected**: -116.6 kJ/mol of atoms
data_CePuTe3
_cell_length_a 8.290
_cell_length_b 4.454
_cell_length_c 17.142
_cell_angle_alpha 90.00
_cell_angle_beta 90.00
_cell_angle_gamma 90.00
_symmetry_space_group_name_H-M 'P n m a'
_symmetry_Int_Tables_number 62
loop_
_symmetry_equiv_pos_as_xyz
'x,y,z'
'-x,-y,-z'
'-x+1/2,-y,z+1/2'
'x+1/2,y,-z+1/2'
'x+1/2,-y+1/2,-z+1/2'
'-x+1/2,y+1/2,z+1/2'
'-x,y+1/2,-z'
'x,-y+1/2,z'
loop_
_atom_site_label
_atom_site_type_symbol
_atom_site_fract_x
_atom_site_fract_y
_atom_site_fract_z
_atom_site_occupancy
Ce1 Ce 0.129 0.250 0.204 1
Pu1 Pu 0.230 0.750 0.460 1
Te1 Te 0.003 0.250 0.390 1
Te2 Te 0.124 0.750 0.067 1
Te3 Te 0.157 0.250 0.782 1